Entry 1:
This record from Alexandria via LeMat-Bulk describes crystalline NaEuRhPb at its relaxed geometry. The functional is PBE.

The structure belongs to space group F-43m (No. 216); the cell edges are 7.140, 7.140 and 7.140 Å and the angles 90.00°, 90.00° and 90.00°. The inequivalent atoms are Na at (0.000, 0.000, 0.000), Eu at (0.250, 0.250, 0.750), Rh at (0.000, 0.000, 0.500) and Pb at (0.250, 0.250, 0.250).

For the volume, the calculation gives 22.7 A^3/atom. As for the total energy: -5.8428 eV per atom. Its energy relative to the elements is -0.1795 eV/atom.



Entry 2:
This record from Alexandria via LeMat-Bulk describes crystalline La2HoGa2 at its relaxed geometry. The functional is PBE.

The structure belongs to space group Immm (No. 71); the cell edges are 4.810, 6.801 and 8.502 Å and the angles 90.00°, 90.00° and 90.00°. The inequivalent atoms are La at (0.000, 0.000, 0.194), Ho at (0.000, 0.500, 0.000) and Ga at (0.000, 0.291, 0.500).

For the volume, the calculation gives 27.8 A^3/atom. As for the total energy: -4.5717 eV per atom. For the polymorph energy (0 for the lowest one), the calculation gives 0 meV/atom. Its energy relative to the elements is -0.4744 eV/atom.



Entry 3:
This record from Alexandria via LeMat-Bulk describes crystalline Ca2MgBe at its relaxed geometry. The functional is PBE.

The structure belongs to space group R-3m (No. 166, hexagonal axes); the cell edges are 3.8045, 3.8045 and 28.6505 Å and the angles 90.00°, 90.00° and 120.00°. The inequivalent atoms are Ca at (0.0000, 0.0000, 0.2341), Mg at (0.0000, 0.0000, 0.0000) and Be at (0.0000, 0.0000, 0.5000).

For the volume, the calculation gives 29.9 A^3/atom. As for the total energy: -1.9589 eV per atom. For the polymorph energy (0 for the lowest one), the calculation gives 207 meV/atom. Its energy relative to the elements is 0.3721 eV/atom.



Entry 4:
This record from Alexandria via LeMat-Bulk describes crystalline TbSi3NiRh at its relaxed geometry. The functional is PBE.

The structure belongs to space group Cmcm (No. 63); the cell edges are 6.082, 12.878 and 5.553 Å and the angles 90.00°, 90.00° and 90.00°. The inequivalent atoms are Tb at (0.000, 0.201, 0.250), Si at (0.000, 0.213, 0.750), Si at (0.215, 0.500, 0.000), Ni at (0.000, 0.045, 0.750) and Rh at (0.000, 0.388, 0.750).

For the volume, the calculation gives 18.1 A^3/atom. As for the total energy: -6.1574 eV per atom. Its raw formation energy is -0.485 eV/atom.



| no. | theoretical density (Mg/m³) | density of states at the Fermi level (states/eV/cell) |
| --- | --- | --- |
| 1 | 8.853 | 41.3 |
| 2 | 6.952 | 9.9 |
| 3 | 1.574 | 14.3 |
| 4 | 6.182 | 8.9 |